Record 1
! PBE Rb2HfPdCl6, optimized geometry; values from VASP
! Space group: I4/mmm (139)
! Mass density: 3.695 g cm⁻³
&SYSTEM
  ibrav = 0, nat = 10, ntyp = 4
/
ATOMIC_SPECIES
Rb 85.47 Rb.upf
Hf 178.49 Hf.upf
Pd 106.42 Pd.upf
Cl 35.45 Cl.upf
CELL_PARAMETERS angstrom
-4.0645 4.0645 4.5469
4.0645 -4.0645 4.5469
4.0645 4.0645 -4.5469
ATOMIC_POSITIONS crystal
Rb 0.2500 0.7500 0.5000
Rb 0.7500 0.2500 0.5000
Hf 0.0000 0.0000 0.0000
Pd 0.5000 0.5000 0.0000
Cl 0.2169 0.2169 0.4339
Cl 0.2169 0.7831 0.0000
Cl 0.2575 0.2575 0.0000
Cl 0.7425 0.7425 0.0000
Cl 0.7831 0.2169 0.0000
Cl 0.7831 0.7831 0.5661

---

Record 2
! PBE HfPdSCl2, optimized geometry; values from VASP
! Space group: P4/mmm (123)
! Mass density: 5.361 g cm⁻³
! Polymorph energy (0 for the lowest one): 0.00 eV per formula unit
&SYSTEM
  ibrav = 0, nat = 5, ntyp = 4
/
ATOMIC_SPECIES
Hf 178.49 Hf.upf
Pd 106.42 Pd.upf
S 32.06 S.upf
Cl 35.45 Cl.upf
CELL_PARAMETERS angstrom
4.9545 0.0000 0.0000
0.0000 4.9545 0.0000
0.0000 0.0000 4.8939
ATOMIC_POSITIONS crystal
Hf 0.0000 0.0000 0.0000
Pd 0.5000 0.5000 0.5000
S 0.0000 0.0000 0.5000
Cl 0.0000 0.5000 0.0000
Cl 0.5000 0.0000 0.0000

---

Record 3
! PBE HfPdSCl2, optimized geometry; values from VASP
! Space group: P4/mmm (123)
! Mass density: 5.995 g cm⁻³
! Polymorph energy (0 for the lowest one): 3.95 eV per formula unit
&SYSTEM
  ibrav = 0, nat = 5, ntyp = 4
/
ATOMIC_SPECIES
Hf 178.49 Hf.upf
Pd 106.42 Pd.upf
S 32.06 S.upf
Cl 35.45 Cl.upf
CELL_PARAMETERS angstrom
4.6838 0.0000 0.0000
0.0000 4.6838 0.0000
0.0000 0.0000 4.8972
ATOMIC_POSITIONS crystal
Hf 0.0000 0.0000 0.0000
Pd 0.5000 0.5000 0.5000
S 0.5000 0.5000 0.0000
Cl 0.0000 0.5000 0.5000
Cl 0.5000 0.0000 0.5000

---

Record 4
! PBE HfPdS2Cl, optimized geometry; values from VASP
! Space group: P4/mmm (123)
! Mass density: 5.345 g cm⁻³
! Polymorph energy (0 for the lowest one): 0.00 eV per formula unit
&SYSTEM
  ibrav = 0, nat = 5, ntyp = 4
/
ATOMIC_SPECIES
Hf 178.49 Hf.upf
Pd 106.42 Pd.upf
S 32.06 S.upf
Cl 35.45 Cl.upf
CELL_PARAMETERS angstrom
4.9291 0.0000 0.0000
0.0000 4.9291 0.0000
0.0000 0.0000 4.9169
ATOMIC_POSITIONS crystal
Hf 0.0000 0.0000 0.0000
Pd 0.5000 0.5000 0.5000
S 0.0000 0.5000 0.0000
S 0.5000 0.0000 0.0000
Cl 0.0000 0.0000 0.5000

---

Record 5
! PBE HfPdS2Cl, optimized geometry; values from VASP
! Space group: P4/mmm (123)
! Mass density: 6.281 g cm⁻³
! Polymorph energy (0 for the lowest one): 3.10 eV per formula unit
&SYSTEM
  ibrav = 0, nat = 5, ntyp = 4
/
ATOMIC_SPECIES
Hf 178.49 Hf.upf
Pd 106.42 Pd.upf
S 32.06 S.upf
Cl 35.45 Cl.upf
CELL_PARAMETERS angstrom
4.7162 0.0000 0.0000
0.0000 4.7162 0.0000
0.0000 0.0000 4.5701
ATOMIC_POSITIONS crystal
Hf 0.0000 0.0000 0.0000
Pd 0.5000 0.5000 0.5000
S 0.0000 0.5000 0.5000
S 0.5000 0.0000 0.5000
Cl 0.5000 0.5000 0.0000

---

Record 6
! PBE HfPdSe2Cl, optimized geometry; values from VASP
! Space group: P4/mmm (123)
! Mass density: 7.017 g cm⁻³
! Polymorph energy (0 for the lowest one): 0.00 eV per formula unit
&SYSTEM
  ibrav = 0, nat = 5, ntyp = 4
/
ATOMIC_SPECIES
Hf 178.49 Hf.upf
Pd 106.42 Pd.upf
Se 78.96 Se.upf
Cl 35.45 Cl.upf
CELL_PARAMETERS angstrom
4.9688 0.0000 0.0000
0.0000 4.9688 0.0000
0.0000 0.0000 4.5845
ATOMIC_POSITIONS crystal
Hf 0.0000 0.0000 0.0000
Pd 0.5000 0.5000 0.5000
Se 0.0000 0.5000 0.5000
Se 0.5000 0.0000 0.5000
Cl 0.5000 0.5000 0.0000

---

Record 7
! PBE HfPdSe2Cl, optimized geometry; values from VASP
! Space group: P4/mmm (123)
! Mass density: 6.437 g cm⁻³
! Polymorph energy (0 for the lowest one): 0.80 eV per formula unit
&SYSTEM
  ibrav = 0, nat = 5, ntyp = 4
/
ATOMIC_SPECIES
Hf 178.49 Hf.upf
Pd 106.42 Pd.upf
Se 78.96 Se.upf
Cl 35.45 Cl.upf
CELL_PARAMETERS angstrom
4.8561 0.0000 0.0000
0.0000 4.8561 0.0000
0.0000 0.0000 5.2320
ATOMIC_POSITIONS crystal
Hf 0.0000 0.0000 0.0000
Pd 0.0000 0.0000 0.5000
Se 0.0000 0.5000 0.5000
Se 0.5000 0.0000 0.5000
Cl 0.5000 0.5000 0.0000

---

Record 8
! PBE PmHfCl6, optimized geometry; values from VASP
! Space group: C2/m (12)
! Mass density: 3.536 g cm⁻³
&SYSTEM
  ibrav = 0, nat = 8, ntyp = 3
/
ATOMIC_SPECIES
Pm 145.00 Pm.upf
Hf 178.49 Hf.upf
Cl 35.45 Cl.upf
CELL_PARAMETERS angstrom
3.2502 -6.3999 0.0000
3.2502 6.3999 0.0000
-2.1043 0.0000 6.0532
ATOMIC_POSITIONS crystal
Pm 0.0000 0.0000 0.0000
Hf 0.5000 0.5000 0.5000
Cl 0.1369 0.4248 0.2624
Cl 0.2544 0.2544 0.7266
Cl 0.4248 0.1369 0.2624
Cl 0.5752 0.8631 0.7376
Cl 0.7456 0.7456 0.2734
Cl 0.8631 0.5752 0.7376

---

Calculated electronic total energy in order - -43.35, -26.03, -22.08, -27.57, -24.47, -23.29, -22.50, -40.99 eV per cell
Calculated energy relative to the elements, uncorrected in order - -1518, -612, 177, -464, 156, 134, 293, -1901 meV/atom